VASP calculation (PBE+U) on a relaxed Mn3NiF crystal.

Cell: 4.3417 4.3417 4.3417 Å, 90.00 90.00 90.00°
Site moments in Bohr magnetons follow the coordinates.
Element x y z (fractional)
Ni  0.5000  0.5000  0.5000  0.59
Mn  0.0000  0.5000  0.0000  4.50
Mn  0.5000  0.0000  0.0000  4.48
Mn  0.0000  0.0000  0.5000  4.47
F  0.0000  0.0000  0.0000  0.12

Output
The calculation puts the density of states at the Fermi level at 1.8 states/eV/f.u. The value obtained for the total magnetization is 14.363 μB per formula unit. The calculation puts the offset from the most stable computed form at 0 meV/atom.